Computed, not measured: an optimized crystal structure of SrFe2Cl at the GGA-PBE level of DFT.

Size of the total moment, μB per cell: 5.74
Relative energy among the computed polymorphs, eV per atom: 0.659
Space-group type: P4/mmm
Crystal system: tetragonal
DOS at the Fermi energy, states/eV/cell: 4.153
Uncorrected formation energy, eV per atom: 0.5459

Cell and atoms, written as extended XYZ:
```
4
Lattice="4.1556 0.0664 0.0000 -0.0663 4.1556 0.0000 0.0000 0.0000 5.5095" Properties=species:S:1:pos:R:3 pbc="T T T"
Sr 2.0447 2.1110 1.3774
Fe 0.0000 0.0000 5.2516
Fe 0.0000 0.0000 3.0126
Cl 2.0447 2.1110 4.1321
```

---

Computed, not measured: an optimized crystal structure of SrFe2Cl at the GGA-PBE level of DFT.

Size of the total moment, μB per cell: 5.00
Relative energy among the computed polymorphs, eV per atom: 0.049
Space-group type: Cm
Crystal system: monoclinic
DOS at the Fermi energy, states/eV/cell: 2.904
Uncorrected formation energy, eV per atom: -0.0645

Cell and atoms, written as extended XYZ:
```
4
Lattice="-1.0773 -0.1568 3.8844 -3.1431 -2.2635 1.1273 4.0635 -5.1982 0.9274" Properties=species:S:1:pos:R:3 pbc="T T T"
Sr 0.1970 -3.8389 2.7859
Fe 3.0267 -4.8443 1.4338
Fe 0.1604 -6.3898 4.7625
Cl 0.4442 -1.5529 0.8538
```

---

Computed, not measured: an optimized crystal structure of SrFe2Cl at the GGA-PBE level of DFT.

Size of the total moment, μB per cell: 6.28
Relative energy among the computed polymorphs, eV per atom: 0.557
Space-group type: F-43m
Crystal system: cubic
DOS at the Fermi energy, states/eV/cell: 5.738
Uncorrected formation energy, eV per atom: 0.4443

Cell and atoms, written as extended XYZ:
```
4
Lattice="-2.1239 2.6190 3.5837 2.6776 -2.4154 3.3484 2.2295 2.3012 -3.7349" Properties=species:S:1:pos:R:3 pbc="T T T"
Sr 0.2768 0.1019 3.4661
Fe 2.6772 -2.4149 3.3484
Fe 2.5926 -0.0067 1.5398
Cl 0.1912 2.5110 1.6575
```

---

Computed, not measured: an optimized crystal structure of SrFe2Cl6 at the GGA-PBE level of DFT.

Size of the total moment, μB per cell: 16.00
Space-group type: C2/c
Crystal system: monoclinic
DOS at the Fermi energy, states/eV/cell: 22.075
Uncorrected formation energy, eV per atom: -1.2498

Cell and atoms, written as extended XYZ:
```
18
Lattice="7.0737 -0.1540 -0.1490 1.8717 8.8892 0.0441 1.8717 0.3321 8.8831" Properties=species:S:1:pos:R:3 pbc="T T T"
Sr 3.6401 1.3384 7.7665
Sr 7.1769 7.7288 1.0116
Fe 4.2750 5.7654 6.9038
Fe 3.0051 2.0572 3.3140
Fe 6.5420 3.3019 1.8742
Fe 7.8119 7.0100 5.4641
Cl 5.6164 6.3937 5.1381
Cl 1.6638 3.8016 2.6287
Cl 5.2006 2.6735 3.6399
Cl 9.1533 5.2656 6.1494
Cl 8.5841 7.8010 3.4862
Cl 5.7698 5.2531 1.0196
Cl 2.2330 1.2662 5.2918
Cl 5.0472 3.8142 7.7585
Cl 4.3419 7.5144 8.4582
Cl 2.9383 0.4470 1.6162
Cl 6.4751 1.5529 0.3199
Cl 7.8787 8.6202 7.1618
```

---

Computed, not measured: an optimized crystal structure of SrFeCl2 at the GGA-PBE level of DFT.

Size of the total moment, μB per cell: 2.53
Relative energy among the computed polymorphs, eV per atom: 0.125
Space-group type: P4mm
Crystal system: tetragonal
DOS at the Fermi energy, states/eV/cell: 4.960
Uncorrected formation energy, eV per atom: -0.7391

Cell and atoms, written as extended XYZ:
```
4
Lattice="-1.7292 -1.3311 2.9611 -2.0071 -2.1985 -2.1605 4.7190 -4.8665 0.5682" Properties=species:S:1:pos:R:3 pbc="T T T"
Sr 1.7277 -5.4731 0.8332
Fe 1.9242 -1.9844 0.2317
Cl 4.6846 -4.8311 0.5640
Cl -0.2755 -3.4073 0.5920
```

---

Computed, not measured: an optimized crystal structure of SrFeTc2Cl at the GGA-PBE level of DFT.

Size of the total moment, μB per cell: 9.08
Space-group type: P4/mmm
Crystal system: tetragonal
DOS at the Fermi energy, states/eV/cell: 9.276
Uncorrected formation energy, eV per atom: 2.6228

Cell and atoms, written as extended XYZ:
```
5
Lattice="-2.3008 4.7215 -0.6580 -1.1198 0.1491 4.9858 4.6240 2.3880 0.9671" Properties=species:S:1:pos:R:3 pbc="T T T"
Sr 0.0000 0.0000 0.0000
Cl 0.6017 3.6293 2.6474
Tc 2.3120 1.1940 0.4835
Tc -1.1504 2.3607 -0.3290
Fe -0.5599 0.0746 2.4929
```

---

Computed, not measured: an optimized crystal structure of SrTlFeCl5 at the GGA-PBE level of DFT.

Size of the total moment, μB per cell: 8.00
Space-group type: C2/c
Crystal system: monoclinic
DOS at the Fermi energy, states/eV/cell: 13.382
Uncorrected formation energy, eV per atom: -1.4305

Cell and atoms, written as extended XYZ:
```
16
Lattice="7.7020 0.0281 -0.0389 -2.2215 7.3747 -0.0389 -2.3778 -3.2118 9.4338" Properties=species:S:1:pos:R:3 pbc="T T T"
Sr -1.1889 -1.6059 4.7169
Sr 0.0000 0.0000 0.0000
Tl 0.6008 4.0423 2.3196
Tl 2.5019 0.1488 7.0365
Fe 3.9562 1.5582 2.3196
Fe -0.8534 2.6328 7.0365
Cl -1.8564 5.8614 2.3196
Cl 4.9592 -1.6704 7.0365
Cl 5.9556 2.0216 1.2541
Cl -2.8528 2.1694 8.1019
Cl 4.0966 -0.4894 3.3850
Cl -0.9938 4.6805 5.9711
Cl 3.3499 3.0743 3.9571
Cl -0.2471 1.1167 5.3990
Cl 2.3291 1.6955 0.6821
Cl 0.7737 2.4955 8.6740
```

---

Computed, not measured: an optimized crystal structure of SrTlFe2Cl8 at the GGA-PBE level of DFT.

Size of the total moment, μB per cell: 9.00
Space-group type: C2/m
Crystal system: monoclinic
DOS at the Fermi energy, states/eV/cell: 8.885
Uncorrected formation energy, eV per atom: -1.2375

Cell and atoms, written as extended XYZ:
```
12
Lattice="6.6356 -0.3881 -0.0468 2.7166 6.0665 -0.0468 0.5103 0.3098 9.8177" Properties=species:S:1:pos:R:3 pbc="T T T"
Sr 0.0000 0.0000 0.0000
Tl 0.2552 0.1549 4.9089
Fe 5.9257 3.5979 2.1971
Fe 3.9369 2.3903 7.5269
Cl 6.0450 1.5017 7.5483
Cl 6.8754 4.1745 0.2379
Cl 6.8907 4.1838 4.0862
Cl 2.9719 1.8044 5.6378
Cl 2.9872 1.8137 9.4861
Cl 4.1209 4.6707 7.5483
Cl 5.7417 1.3175 2.1757
Cl 3.8176 4.4865 2.1757
```

---

Computed, not measured: an optimized crystal structure of SrTl2FeCl6 at the GGA-PBE level of DFT.

Size of the total moment, μB per cell: 8.00
Space-group type: P2_1/c
Crystal system: monoclinic
DOS at the Fermi energy, states/eV/cell: 13.132
Uncorrected formation energy, eV per atom: -1.3292

Cell and atoms, written as extended XYZ:
```
20
Lattice="-4.7764 5.3516 -1.4243 -4.9658 -3.1960 4.6442 3.9190 5.5318 7.9972" Properties=species:S:1:pos:R:3 pbc="T T T"
Sr -2.3882 2.6758 -0.7122
Sr -0.5234 1.1679 6.3207
Tl -3.7819 -1.5532 6.3250
Tl -2.3124 5.1102 7.8362
Tl -2.0413 9.2406 4.8920
Tl -3.5108 2.5773 3.3808
Fe -0.4287 5.4417 3.2864
Fe -2.4829 -1.5980 2.3221
Cl -4.5718 -0.4870 3.1255
Cl -5.6263 4.5519 6.9973
Cl -1.2514 8.1744 8.0914
Cl -0.1968 3.1355 4.2197
Cl -3.3119 1.9101 6.5691
Cl -4.0013 7.1840 10.0993
Cl -2.5113 5.7773 4.6479
Cl -1.8219 0.5034 1.1177
Cl -6.0430 4.5372 2.9331
Cl -4.0184 3.1322 9.8165
Cl 0.2198 3.1502 8.2839
Cl -1.8048 4.5552 1.4005
```

---

Computed, not measured: an optimized crystal structure of TaFeCl2 at the GGA-PBE level of DFT.

Size of the total moment, μB per cell: 0.00
Relative energy among the computed polymorphs, eV per atom: 0.242
Space-group type: C2/m
Crystal system: monoclinic
DOS at the Fermi energy, states/eV/cell: 1.079
Uncorrected formation energy, eV per atom: -0.2358

Cell and atoms, written as extended XYZ:
```
4
Lattice="7.3515 -0.0473 -0.0116 6.6950 3.0371 -0.0116 0.1734 0.0369 3.8708" Properties=species:S:1:pos:R:3 pbc="T T T"
Cl 12.4244 2.6445 0.1003
Cl 8.7322 1.8586 1.8004
Fe 10.6650 2.2700 2.8858
Ta 3.5550 0.7567 0.9619
```

---

Computed, not measured: an optimized crystal structure of TaFeCl2 at the GGA-PBE level of DFT.

Size of the total moment, μB per cell: 1.08
Relative energy among the computed polymorphs, eV per atom: 0.051
Space-group type: Pm
Crystal system: monoclinic
DOS at the Fermi energy, states/eV/cell: 1.903
Uncorrected formation energy, eV per atom: -0.4268

Cell and atoms, written as extended XYZ:
```
4
Lattice="-1.9613 2.3839 -0.4669 -0.6572 -1.1351 -3.0351 -6.3448 -4.8678 1.7991" Properties=species:S:1:pos:R:3 pbc="T T T"
Cl -6.4319 -5.4774 -0.9480
Cl -3.3858 -0.7743 -0.1695
Fe -3.7012 -3.1463 -0.5170
Ta -5.9476 -3.2253 -1.9223
```

---

Computed, not measured: an optimized crystal structure of TaFe2Cl at the GGA-PBE level of DFT.

Size of the total moment, μB per cell: 5.40
Relative energy among the computed polymorphs, eV per atom: 0.150
Space-group type: R3m
Crystal system: trigonal
DOS at the Fermi energy, states/eV/cell: 3.826
Uncorrected formation energy, eV per atom: 0.1703

Cell and atoms, written as extended XYZ:
```
4
Lattice="-4.2326 5.4153 -6.1098 -5.2932 2.7916 -6.9828 -6.6080 4.2588 -4.7715" Properties=species:S:1:pos:R:3 pbc="T T T"
Cl -12.3911 9.5739 -13.7199
Fe -15.8030 12.2101 -17.4977
Fe -4.0287 3.1127 -4.4607
Ta -8.1118 6.2675 -8.9817
```

---

Computed, not measured: an optimized crystal structure of TaFe2Cl at the GGA-PBE level of DFT.

Size of the total moment, μB per cell: 3.38
Relative energy among the computed polymorphs, eV per atom: 0.444
Space-group type: Immm
Crystal system: orthorhombic
DOS at the Fermi energy, states/eV/cell: 4.237
Uncorrected formation energy, eV per atom: 0.4647

Cell and atoms, written as extended XYZ:
```
4
Lattice="5.1210 0.0108 -0.0044 4.3284 2.7367 -0.0044 1.8704 0.5438 3.9156" Properties=species:S:1:pos:R:3 pbc="T T T"
Cl 2.8300 0.8228 0.9767
Fe 9.3206 2.7100 0.0576
Fe 5.7888 1.6831 1.8869
Ta 8.4899 2.4685 2.9300
```

---

Computed, not measured: an optimized crystal structure of TaFeCl2 at the GGA-PBE level of DFT.

Size of the total moment, μB per cell: 2.64
Relative energy among the computed polymorphs, eV per atom: 0.768
Space-group type: C2/m
Crystal system: monoclinic
DOS at the Fermi energy, states/eV/cell: 3.022
Uncorrected formation energy, eV per atom: 0.2901

Cell and atoms, written as extended XYZ:
```
4
Lattice="5.3383 0.2354 -0.2086 -1.4217 5.1509 -0.2086 1.1322 1.5571 2.3091" Properties=species:S:1:pos:R:3 pbc="T T T"
Cl 0.0000 0.0000 0.0000
Cl 1.9583 2.6932 -0.2086
Fe 3.2353 0.8963 1.0502
Ta -0.1447 3.3540 1.0502
```